Record 1
Compound: SrSi2Br
Source: the Alexandria database
Functional: PBE
Structure: optimized geometry

Structure (extended XYZ):
```
8
Lattice="-4.919 4.919 2.692 4.919 -4.919 2.692 4.919 4.919 -2.692" Properties=species:S:1:pos:R:3 pbc="T T T"
Sr 0.000 0.000 0.000
Sr 0.000 4.919 1.346
Si 2.460 2.482 -0.673
Si 7.356 2.460 0.673
Si 2.460 2.437 2.019
Si -2.437 2.460 3.365
Br 4.919 0.000 1.346
Br 0.000 0.000 2.692
```

Electronic total energy ... -0.123 Ha/atom
DOS at the Fermi energy ... 0.920 states/eV per atom
E_form (uncorrected) ... 0.21 eV per atom

Record 2
Compound: Sr2ScPdO4
Source: the Alexandria database
Functional: PBE
Structure: optimized geometry

Structure (extended XYZ):
```
8
Lattice="-3.127 3.127 3.320 3.127 -3.127 3.320 3.127 3.127 -3.320" Properties=species:S:1:pos:R:3 pbc="T T T"
Sr 0.000 0.000 0.000
Sr 0.000 3.127 1.660
Sc 0.000 0.000 3.320
Pd 3.127 0.000 1.660
O 1.967 2.090 -1.279
O 1.160 1.037 2.041
O 4.164 1.967 1.279
O -1.037 1.160 4.599
```

Electronic total energy ... -0.243 Ha/atom
DOS at the Fermi energy ... 0.027 states/eV per atom
E_form (uncorrected) ... -2.26 eV per atom

Please write out number 2 again, unchanged.
Compound: Sr2ScPdO4
Source: the Alexandria database
Functional: PBE
Structure: optimized geometry

Structure (extended XYZ):
```
8
Lattice="-3.127 3.127 3.320 3.127 -3.127 3.320 3.127 3.127 -3.320" Properties=species:S:1:pos:R:3 pbc="T T T"
Sr 0.000 0.000 0.000
Sr 0.000 3.127 1.660
Sc 0.000 0.000 3.320
Pd 3.127 0.000 1.660
O 1.967 2.090 -1.279
O 1.160 1.037 2.041
O 4.164 1.967 1.279
O -1.037 1.160 4.599
```

Electronic total energy ... -0.243 Ha/atom
DOS at the Fermi energy ... 0.027 states/eV per atom
E_form (uncorrected) ... -2.26 eV per atom